1.
Tb2Mn2AlCo5 | PBE-GGA | relaxed

POSCAR file:
```
Tb2Mn2AlCo5
1.0
9.467 0.000 0.000
0.000 9.467 0.000
0.000 0.000 3.304
Tb Mn Al Co
4 4 2 10
direct
0.178 0.322 0.000 Tb
0.322 0.822 0.000 Tb
0.678 0.178 0.000 Tb
0.822 0.678 0.000 Tb
0.122 0.622 0.000 Mn
0.378 0.122 0.000 Mn
0.622 0.878 0.000 Mn
0.878 0.378 0.000 Mn
0.000 0.000 0.000 Al
0.500 0.500 0.000 Al
0.000 0.500 0.500 Co
0.058 0.798 0.500 Co
0.202 0.058 0.500 Co
0.298 0.558 0.500 Co
0.442 0.298 0.500 Co
0.500 0.000 0.500 Co
0.558 0.702 0.500 Co
0.702 0.442 0.500 Co
0.798 0.942 0.500 Co
0.942 0.202 0.500 Co
```

Summary:
**Space group**: P4/mbm
**Formation enthalpy at 0 K**: -0.01 eV per atom


2.
MnAlCoTe2 | PBE-GGA | relaxed

POSCAR file:
```
MnAlCoTe2
1.0
5.218 0.000 0.000
0.000 5.218 0.000
0.000 0.000 4.281
Mn Al Co Te
1 1 1 2
direct
0.000 0.000 0.000 Mn
0.500 0.500 0.500 Al
0.500 0.500 0.000 Co
0.000 0.500 0.500 Te
0.500 0.000 0.500 Te
```

Summary:
**Space group**: P4/mmm
**Formation energy (no corrections)**: 1.35 eV/atom


3.
Th2Mn2AlCo5 | PBE-GGA | relaxed

POSCAR file:
```
Th2Mn2AlCo5
1.0
9.151 0.000 0.000
0.000 9.151 0.000
0.000 0.000 3.678
Th Mn Al Co
4 4 2 10
direct
0.187 0.313 0.000 Th
0.313 0.813 0.000 Th
0.687 0.187 0.000 Th
0.813 0.687 0.000 Th
0.112 0.612 0.000 Mn
0.388 0.112 0.000 Mn
0.612 0.888 0.000 Mn
0.888 0.388 0.000 Mn
0.000 0.000 0.000 Al
0.500 0.500 0.000 Al
0.000 0.500 0.500 Co
0.056 0.793 0.500 Co
0.207 0.056 0.500 Co
0.293 0.556 0.500 Co
0.444 0.293 0.500 Co
0.500 0.000 0.500 Co
0.556 0.707 0.500 Co
0.707 0.444 0.500 Co
0.793 0.944 0.500 Co
0.944 0.207 0.500 Co
```

Summary:
**Space group**: P4/mbm
**Formation enthalpy at 0 K**: -0.05 eV per atom


4.
Tm2MnAl12Co3 | PBE-GGA | relaxed

POSCAR file:
```
Tm2MnAl12Co3
1.0
2.844 1.642 11.131
-2.844 1.642 11.131
0.000 -3.284 11.131
Tm Mn Al Co
2 1 12 3
direct
0.139 0.139 0.139 Tm
0.861 0.861 0.861 Tm
0.500 0.500 0.500 Mn
0.108 0.108 0.636 Al
0.108 0.636 0.108 Al
0.109 0.615 0.615 Al
0.364 0.892 0.892 Al
0.385 0.385 0.891 Al
0.385 0.891 0.385 Al
0.615 0.109 0.615 Al
0.615 0.615 0.109 Al
0.636 0.108 0.108 Al
0.891 0.385 0.385 Al
0.892 0.364 0.892 Al
0.892 0.892 0.364 Al
0.000 0.500 0.500 Co
0.500 0.000 0.500 Co
0.500 0.500 0.000 Co
```

Summary:
**Space group**: R-3m
**Formation enthalpy at 0 K**: -0.05 eV per atom


5.
MnAl2VCo | PBE-GGA | relaxed

POSCAR file:
```
MnAl2VCo
1.0
4.345 0.000 0.000
0.000 4.345 0.000
0.000 0.000 4.569
Mn Al V Co
1 2 1 1
direct
0.000 0.000 0.000 Mn
0.000 0.500 0.500 Al
0.500 0.000 0.500 Al
0.500 0.500 0.000 V
0.000 0.000 0.500 Co
```

Summary:
**Space group**: P4/mmm
**Formation enthalpy at 0 K**: 0.45 eV per atom


6.
MnAlCoW | PBE-GGA | relaxed

POSCAR file:
```
MnAlCoW
1.0
5.883 0.000 0.000
0.000 5.883 0.000
0.000 0.000 5.883
Mn Al Co W
4 4 4 4
direct
0.000 0.000 0.000 Mn
0.000 0.500 0.500 Mn
0.500 0.000 0.500 Mn
0.500 0.500 0.000 Mn
0.250 0.250 0.250 Al
0.250 0.750 0.750 Al
0.750 0.250 0.750 Al
0.750 0.750 0.250 Al
0.000 0.000 0.500 Co
0.000 0.500 0.000 Co
0.500 0.000 0.000 Co
0.500 0.500 0.500 Co
0.250 0.250 0.750 W
0.250 0.750 0.250 W
0.750 0.250 0.250 W
0.750 0.750 0.750 W
```

Summary:
**Space group**: F-43m
**Formation enthalpy at 0 K**: -0.20 eV per atom


7.
Y2MnAl2Co5 | PBE-GGA | relaxed

POSCAR file:
```
Y2MnAl2Co5
1.0
9.611 0.000 0.000
0.000 9.611 0.000
0.000 0.000 3.247
Y Mn Al Co
4 2 4 10
direct
0.175 0.325 0.000 Y
0.325 0.825 0.000 Y
0.675 0.175 0.000 Y
0.825 0.675 0.000 Y
0.000 0.000 0.000 Mn
0.500 0.500 0.000 Mn
0.124 0.624 0.000 Al
0.376 0.124 0.000 Al
0.624 0.876 0.000 Al
0.876 0.376 0.000 Al
0.000 0.500 0.500 Co
0.059 0.802 0.500 Co
0.198 0.059 0.500 Co
0.302 0.559 0.500 Co
0.441 0.302 0.500 Co
0.500 0.000 0.500 Co
0.559 0.698 0.500 Co
0.698 0.441 0.500 Co
0.802 0.941 0.500 Co
0.941 0.198 0.500 Co
```

Summary:
**Space group**: P4/mbm
**Formation enthalpy at 0 K**: -0.11 eV per atom


8.
Y2Mn2AlCo5 | PBE-GGA | relaxed

POSCAR file:
```
Y2Mn2AlCo5
1.0
9.515 0.000 0.000
0.000 9.515 0.000
0.000 0.000 3.266
Y Mn Al Co
4 4 2 10
direct
0.178 0.322 0.000 Y
0.322 0.822 0.000 Y
0.678 0.178 0.000 Y
0.822 0.678 0.000 Y
0.123 0.623 0.000 Mn
0.377 0.123 0.000 Mn
0.623 0.877 0.000 Mn
0.877 0.377 0.000 Mn
0.000 0.000 0.000 Al
0.500 0.500 0.000 Al
0.000 0.500 0.500 Co
0.059 0.798 0.500 Co
0.202 0.059 0.500 Co
0.298 0.559 0.500 Co
0.441 0.298 0.500 Co
0.500 0.000 0.500 Co
0.559 0.702 0.500 Co
0.702 0.441 0.500 Co
0.798 0.941 0.500 Co
0.941 0.202 0.500 Co
```

Summary:
**Space group**: P4/mbm
**Formation enthalpy at 0 K**: -0.02 eV per atom


9.
ZrMnAlCo | PBE-GGA | relaxed

POSCAR file:
```
ZrMnAlCo
1.0
6.096 0.000 0.000
0.000 6.096 0.000
0.000 0.000 6.096
Zr Mn Al Co
4 4 4 4
direct
0.000 0.000 0.000 Zr
0.000 0.500 0.500 Zr
0.500 0.000 0.500 Zr
0.500 0.500 0.000 Zr
0.250 0.250 0.250 Mn
0.250 0.750 0.750 Mn
0.750 0.250 0.750 Mn
0.750 0.750 0.250 Mn
0.000 0.000 0.500 Al
0.000 0.500 0.000 Al
0.500 0.000 0.000 Al
0.500 0.500 0.500 Al
0.250 0.250 0.750 Co
0.250 0.750 0.250 Co
0.750 0.250 0.250 Co
0.750 0.750 0.750 Co
```

Summary:
**Space group**: F-43m
**Formation enthalpy at 0 K**: -0.28 eV per atom


10.
ZrMnAl2Co | PBE-GGA | relaxed

POSCAR file:
```
ZrMnAl2Co
1.0
5.147 0.000 0.000
0.000 5.147 0.000
0.000 0.000 4.578
Zr Mn Al Co
1 1 2 1
direct
0.000 0.000 0.000 Zr
0.000 0.000 0.500 Mn
0.000 0.500 0.000 Al
0.500 0.000 0.000 Al
0.500 0.500 0.500 Co
```

Summary:
**Space group**: P4/mmm
**Formation enthalpy at 0 K**: 1.56 eV per atom


11.
Zr2Mn2AlCo5 | PBE-GGA | relaxed

POSCAR file:
```
Zr2Mn2AlCo5
1.0
8.766 0.000 0.000
0.000 8.766 0.000
0.000 0.000 3.566
Zr Mn Al Co
4 4 2 10
direct
0.179 0.321 0.000 Zr
0.321 0.821 0.000 Zr
0.679 0.179 0.000 Zr
0.821 0.679 0.000 Zr
0.119 0.619 0.000 Mn
0.381 0.119 0.000 Mn
0.619 0.881 0.000 Mn
0.881 0.381 0.000 Mn
0.000 0.000 0.000 Al
0.500 0.500 0.000 Al
0.000 0.500 0.500 Co
0.062 0.792 0.500 Co
0.208 0.062 0.500 Co
0.292 0.562 0.500 Co
0.438 0.292 0.500 Co
0.500 0.000 0.500 Co
0.562 0.708 0.500 Co
0.708 0.438 0.500 Co
0.792 0.938 0.500 Co
0.938 0.208 0.500 Co
```

Summary:
**Space group**: P4/mbm
**Formation enthalpy at 0 K**: -0.12 eV per atom


12.
AlCo2Mo | PBE-GGA | relaxed

POSCAR file:
```
AlCo2Mo
1.0
2.681 0.000 0.000
0.000 4.098 0.000
-1.094 0.000 4.606
Al Co Mo
1 2 1
direct
0.000 0.000 0.000 Al
0.592 0.500 0.149 Co
0.698 0.000 0.460 Co
0.274 0.500 0.647 Mo
```

Summary:
**Space group**: Pm
**Formation enthalpy at 0 K**: -0.15 eV per atom